DFT (PBE+U) results for BW2F after structural relaxation.

## Properties
The uncorrected energy comes out at -5.03 eV/atom. The total magnetization is 3.55 μB per formula unit. The mass density comes out at 11.9 Mg/m³.

abc: 6.130 6.130 5.248
angles: 54.27 54.27 90.00
Last column: magnetic moment on the atom in μB.
Fractional coordinates of all 8 atoms:
W 0.375 0.393 0.750  1.72
W 0.607 0.125 0.250  1.68
W 0.143 0.625 0.250  1.68
W 0.875 0.857 0.750  1.68
B 0.250 0.750 0.500  -0.18
B 0.500 0.500 0.000  -0.18
F 0.000 0.000 0.000  0.07
F 0.750 0.250 0.500  0.07